# 1
DFT (PBE-GGA) results for an optimized crystal structure of SrCeP2Pd2.

Unit cell a=4.232 b=4.232 c=8.107 alpha=90.00 beta=90.00 gamma=120.00
Atoms (fractional coordinates):
Sr 0.000 0.000 0.000
Ce 0.000 0.000 0.500
P 0.333 0.667 0.278
P 0.667 0.333 0.722
Pd 0.333 0.667 0.739
Pd 0.667 0.333 0.261

Output
- energy of formation (eV per formula unit) = -6.86
- energy (eV/atom) = -5.947
- Fermi-level density of states (states/eV per cell) = 4.8

=====

# 2
DFT (PBE-GGA) results for an optimized crystal structure of NdMgBi.

Unit cell a=4.885 b=4.885 c=4.191 alpha=90.00 beta=90.00 gamma=120.00
Atoms (fractional coordinates):
Nd 0.000 0.000 0.000
Mg 0.333 0.667 0.500
Bi 0.667 0.333 0.500

Output
- energy of formation (eV per formula unit) = -1.35
- energy (eV/atom) = -3.866
- Fermi-level density of states (states/eV per cell) = 0.3
- energy relative to the lowest polymorph listed for this composition (meV per atom) = 0

=====

# 3
DFT (PBE-GGA) results for an optimized crystal structure of Pr2Te2O7.

Unit cell a=7.801 b=7.801 c=7.801 alpha=60.00 beta=60.00 gamma=60.00
Atoms (fractional coordinates):
Pr 0.000 0.000 0.000
Pr 0.000 0.000 0.500
Pr 0.000 0.500 0.000
Pr 0.500 0.000 0.000
Te 0.000 0.500 0.500
Te 0.500 0.000 0.500
Te 0.500 0.500 0.000
Te 0.500 0.500 0.500
O 0.125 0.125 0.125
O 0.158 0.158 0.592
O 0.158 0.592 0.158
O 0.158 0.592 0.592
O 0.408 0.408 0.842
O 0.408 0.842 0.408
O 0.408 0.842 0.842
O 0.592 0.158 0.158
O 0.592 0.158 0.592
O 0.592 0.592 0.158
O 0.842 0.408 0.408
O 0.842 0.408 0.842
O 0.842 0.842 0.408
O 0.875 0.875 0.875

Output
- formation energy (no corrections) (eV per atom) = -2.044
- energy (eV/atom) = -6.640
- Fermi-level density of states (states/eV per cell) = 0.0

=====

# 4
DFT (PBE-GGA) results for an optimized crystal structure of Ta2CrS5.

Unit cell a=9.173 b=6.877 c=6.838 alpha=83.96 beta=48.20 gamma=47.84
Atoms (fractional coordinates):
Ta 0.185 0.815 0.185
Ta 0.815 0.185 0.815
Cr 0.500 0.500 0.500
S 0.000 0.000 0.000
S 0.224 0.546 0.454
S 0.454 0.776 0.224
S 0.546 0.224 0.776
S 0.776 0.454 0.546

Output
- formation energy (no corrections) (eV per atom) = -0.647
- energy (eV/atom) = -7.393
- Fermi-level density of states (states/eV per cell) = 3.4
- energy relative to the lowest polymorph listed for this composition (meV per atom) = 17

=====

# 5
DFT (PBE-GGA) results for an optimized crystal structure of K3SrTc2O9.

Unit cell a=5.816 b=5.816 c=7.608 alpha=90.00 beta=90.00 gamma=120.00
Atoms (fractional coordinates):
K 0.000 0.000 0.000
K 0.333 0.667 0.704
K 0.667 0.333 0.296
Sr 0.000 0.000 0.500
Tc 0.333 0.667 0.157
Tc 0.667 0.333 0.843
O 0.000 0.500 0.000
O 0.181 0.363 0.288
O 0.181 0.819 0.288
O 0.363 0.181 0.712
O 0.500 0.000 0.000
O 0.500 0.500 0.000
O 0.637 0.819 0.288
O 0.819 0.181 0.712
O 0.819 0.637 0.712

Output
- formation energy (no corrections) (eV per atom) = -1.710
- energy (eV/atom) = -6.399
- Fermi-level density of states (states/eV per cell) = 4.4

=====

# 6
DFT (PBE-GGA) results for an optimized crystal structure of Na3Ga2Sb3.

Unit cell a=7.251 b=7.251 c=15.041 alpha=90.00 beta=90.00 gamma=144.85
Atoms (fractional coordinates):
Na 0.051 0.949 0.615
Na 0.051 0.949 0.885
Na 0.311 0.689 0.750
Na 0.689 0.311 0.250
Na 0.949 0.051 0.115
Na 0.949 0.051 0.385
Ga 0.246 0.754 0.093
Ga 0.246 0.754 0.407
Ga 0.754 0.246 0.593
Ga 0.754 0.246 0.907
Sb 0.355 0.645 0.250
Sb 0.370 0.630 0.555
Sb 0.370 0.630 0.945
Sb 0.630 0.370 0.055
Sb 0.630 0.370 0.445
Sb 0.645 0.355 0.750

Output
- formation energy (no corrections) (eV per atom) = -0.271
- energy (eV/atom) = -3.068
- Fermi-level density of states (states/eV per cell) = 2.8